(1)
# LiHS PBE-GGA optimized geometry
# - VASP energy (eV/atom) = -3.8909
# - relative energy among the computed polymorphs (meV/atom) = 21
# - magnetic moment (μB per formula unit) = 0.000
data_LiHS
_chemical_formula_sum 'Li2 H2 S2'
_symmetry_space_group_name_H-M 'P 1 21/m 1'
_symmetry_Int_Tables_number 11
_cell_length_a 4.5366
_cell_length_b 4.5003
_cell_length_c 6.2548
_cell_angle_alpha 90.00
_cell_angle_beta 110.99
_cell_angle_gamma 90.00
loop_
_symmetry_equiv_pos_as_xyz
'x,y,z'
'-x,-y,-z'
'-x,y+1/2,-z'
'x,-y+1/2,z'
loop_
_atom_site_label
_atom_site_type_symbol
_atom_site_fract_x
_atom_site_fract_y
_atom_site_fract_z
Li1 Li 0.2469 0.2500 0.4944
H1 H 0.4506 0.7500 0.9074
S1 S 0.3380 0.7500 0.6767

***

(2)
# Be2AuCl PBE-GGA optimized geometry
# - VASP energy (eV/atom) = -2.8607
# - relative energy among the computed polymorphs (meV/atom) = 480
# - magnetic moment (μB per formula unit) = 0.000
# - formation energy (no corrections) (eV/atom) = 0.283
data_Be2AuCl
_chemical_formula_sum 'Be4 Au2 Cl2'
_symmetry_space_group_name_H-M 'I -4 m 2'
_symmetry_Int_Tables_number 119
_symmetry_space_group_name_Hall 'I -4 -2'
_cell_length_a 3.2609
_cell_length_b 3.2609
_cell_length_c 12.3860
_cell_angle_alpha 90.00
_cell_angle_beta 90.00
_cell_angle_gamma 90.00
loop_
_atom_site_label
_atom_site_type_symbol
_atom_site_fract_x
_atom_site_fract_y
_atom_site_fract_z
Be1 Be 0.0000 0.0000 0.0000
Be2 Be 0.0000 0.5000 0.2500
Au1 Au 0.0000 0.0000 0.5000
Cl1 Cl 0.0000 0.5000 0.7500

***

> Among the records above, which one has the highest VASP energy?

Be2AuCl